The following is a DFT calculation (PBE) of a relaxed structure of TbNdY3Th.

Lattice parameters (Å, degrees): 8.021 5.086 10.164 90.00 108.31 90.00
Space group P2_1/m (No. 11)
Symmetry-distinct sites (fractional):
Tb (0.001, 0.250, 0.129) x2
Nd (0.325, 0.750, 0.706) x2
Y (0.325, 0.250, 0.456) x2
Y (0.329, 0.750, 0.208) x2
Y (0.330, 0.250, 0.956) x2
Th (0.001, 0.250, 0.623) x2

Values from the calculation:
- DOS(E_F) (states/eV/cell) = 17.874
- energy (eV per atom) = -6.005
- E_form (kJ per mole of atoms) = 2.9